No. 1
Y2AlPd2: PBEsol geometry, meta-GGA SCAN.

ΔH_f (0 K) ... -88.7 kJ/mol of atoms
Space-group type ... P4/mbm (127)
E ... -26.7166 eV/atom

abc: 3.8359 7.3031 7.3031
angles: 90.00 90.00 90.00
Closest atoms and distances in Å follow each position.
Positions (direct):
Y1 0.5000 0.6744 0.8256  6 Pd 2.76-2.97
Al1 0.0000 0.0000 0.0000  4 Pd 2.85
Pd1 0.0000 0.8671 0.6329  1 Pd 2.75, 6 Y 2.76-2.97, 2 Al 2.85
Pd2 0.0000 0.6329 0.1329  1 Pd 2.75, 6 Y 2.76-2.97, 2 Al 2.85
Y2 0.5000 0.1744 0.6744  6 Pd 2.76-2.97
Y3 0.5000 0.8256 0.3256  6 Pd 2.76-2.97
Pd3 0.0000 0.1329 0.3671  1 Pd 2.75, 6 Y 2.76-2.97, 2 Al 2.85
Al2 0.0000 0.5000 0.5000  4 Pd 2.85
Y4 0.5000 0.3256 0.1744  6 Pd 2.76-2.97
Pd4 0.0000 0.3671 0.8671  1 Pd 2.75, 6 Y 2.76-2.97, 2 Al 2.85


No. 2
Al2SnCl6O: PBEsol geometry, meta-GGA SCAN.

Space-group type ... P2_1/c (14)
E ... -12.3465 eV/atom
ΔE_f (raw) ... -1.794 eV per atom

abc: 9.5512 9.3617 12.4564
angles: 90.00 90.00 98.22
Closest atoms and distances in Å follow each position.
Positions (direct):
Cl1 0.4838 0.4623 0.6338  2 Sn 2.60-2.66
Cl2 0.9838 0.9623 0.8662  2 Sn 2.60-2.66
Cl3 0.0381 0.6744 0.2712  1 Al 2.12
O1 0.0594 0.9094 0.4543  3 Al 1.77-1.81
Cl4 0.5381 0.1744 0.2288  1 Al 2.12
Cl5 0.7243 0.9133 0.3723  1 Al 2.11
Cl6 0.8015 0.3714 0.4756  1 Al 2.17
Cl7 0.0162 0.0377 0.1338  2 Sn 2.60-2.66
Sn1 0.0022 0.7900 0.0279  3 Cl 2.60-2.85
Al1 0.3782 0.4125 0.0063  2 O 1.80-1.81
Cl8 0.1985 0.6286 0.5244  1 Al 2.17
Cl9 0.4619 0.8256 0.7712  1 Al 2.12
Cl10 0.6390 0.1097 0.6418  1 Al 2.14
Cl11 0.8610 0.3903 0.1418  1 Al 2.14
Cl12 0.6947 0.7524 0.1066  1 Al 2.13
O2 0.9406 0.0906 0.5457  3 Al 1.77-1.81
Al2 0.8782 0.9125 0.4937  2 O 1.80-1.81
O3 0.5594 0.4094 0.0457  3 Al 1.77-1.81
Cl13 0.3053 0.2476 0.8934  1 Al 2.13
Cl14 0.3015 0.8714 0.0244  1 Al 2.17
Cl15 0.2243 0.4133 0.1277  1 Al 2.11
Al3 0.1566 0.7793 0.3997  1 O 1.77
O4 0.4406 0.5906 0.9543  3 Al 1.77-1.81
Al4 0.8434 0.2207 0.6003  1 O 1.77
Cl16 0.7757 0.5867 0.8723  1 Al 2.11
Al5 0.3434 0.7207 0.8997  1 O 1.77
Cl17 0.2757 0.0867 0.6277  1 Al 2.11
Sn2 0.9978 0.2100 0.9721  3 Cl 2.60-2.85
Cl18 0.9619 0.3256 0.7288  1 Al 2.12
Cl19 0.8053 0.7476 0.6066  1 Al 2.13
Cl20 0.3610 0.8903 0.3582  1 Al 2.14
Al6 0.6566 0.2793 0.1003  1 O 1.77
Cl21 0.1947 0.2524 0.3934  1 Al 2.13
Sn3 0.4978 0.7100 0.5279  3 Cl 2.60-2.85
Cl22 0.5162 0.5377 0.3662  2 Sn 2.60-2.66
Cl23 0.1390 0.6097 0.8582  1 Al 2.14
Al7 0.1218 0.0875 0.5063  2 O 1.80-1.81
Cl24 0.6985 0.1286 0.9756  1 Al 2.17
Al8 0.6218 0.5875 0.9937  2 O 1.80-1.81
Sn4 0.5022 0.2900 0.4721  3 Cl 2.60-2.85


No. 3
CeSn4Pd2: PBEsol geometry, meta-GGA SCAN.

ΔH_f (0 K) ... -57.2 kJ/mol of atoms
Space-group type ... Cmcm (63)
E ... -36.8491 eV/atom

abc: 5.9991 6.2703 8.7411
angles: 111.02 90.00 90.00
Closest atoms and distances in Å follow each position.
Positions (direct):
Sn1 0.2500 0.1969 0.8275  2 Pd 2.69, 2 Sn 2.82-2.96
Ce1 0.2500 0.7693 0.0000  10 Sn 3.33-3.52, 4 Pd 3.46
Sn2 0.2500 0.3694 0.1725  2 Pd 2.69, 2 Sn 2.82-2.96
Sn3 0.7500 0.6306 0.8275  2 Pd 2.69, 2 Sn 2.82-2.96
Sn4 0.7500 0.8031 0.1725  2 Pd 2.69, 2 Sn 2.82-2.96
Sn5 0.7500 0.1496 0.5980  4 Pd 2.71-2.76, 1 Sn 2.96
Pd1 0.0000 0.8310 0.6620  6 Sn 2.69-2.76, 2 Pd 3.00
Sn6 0.7500 0.5516 0.4020  4 Pd 2.71-2.76, 1 Sn 2.96
Pd2 0.5000 0.1690 0.3380  6 Sn 2.69-2.76, 2 Pd 3.00
Pd3 0.0000 0.1690 0.3380  6 Sn 2.69-2.76, 2 Pd 3.00
Sn7 0.2500 0.4484 0.5980  4 Pd 2.71-2.76, 1 Sn 2.96
Pd4 0.5000 0.8310 0.6620  6 Sn 2.69-2.76, 2 Pd 3.00
Ce2 0.7500 0.2307 0.0000  10 Sn 3.33-3.52, 4 Pd 3.46
Sn8 0.2500 0.8504 0.4020  4 Pd 2.71-2.76, 1 Sn 2.96


No. 4
KNa3Os: PBEsol geometry, meta-GGA SCAN.

ΔH_f (0 K) ... 98.3 kJ/mol of atoms
Space-group type ... Pm-3m (221)
E ... -17.5521 eV/atom

abc: 5.6325 5.6325 5.6325
angles: 90.00 90.00 90.00
Closest atoms and distances in Å follow each position.
Positions (direct):
Na1 0.0000 0.0000 0.5000  2 Os 2.82
Na2 0.5000 0.0000 0.0000  2 Os 2.82
Na3 0.0000 0.5000 0.0000  2 Os 2.82
K1 0.5000 0.5000 0.5000  12 Na 3.98
Os1 0.0000 0.0000 0.0000  6 Na 2.82


No. 5
KAsS2Cl: PBEsol geometry, meta-GGA SCAN.

Space-group type ... P4/mmm (123)
E ... -10.2284 eV/atom
Distance to the lowest polymorph of the same formula ... 1504 meV/atom
ΔE_f (raw) ... 0.922 eV per atom

abc: 5.2990 5.5422 5.5422
angles: 90.00 90.00 90.00
Closest atoms and distances in Å follow each position.
Positions (direct):
K1 0.0000 0.0000 0.0000  2 Cl 2.65, 4 S 2.77
S1 0.0000 0.5000 0.0000  2 K 2.77
As1 0.5000 0.5000 0.5000  8 S 3.83, 4 Cl 3.92
Cl1 0.5000 0.0000 0.0000  2 K 2.65
S2 0.0000 0.0000 0.5000  2 K 2.77


No. 6
TaTeSI2: PBEsol geometry, meta-GGA SCAN.

Space-group type ... P4/mmm (123)
E ... -36.8083 eV/atom
ΔE_f (raw) ... 0.581 eV per atom

abc: 5.3372 5.3637 5.3637
angles: 90.00 90.00 90.00
Closest atoms and distances in Å follow each position.
Positions (direct):
Ta1 0.0000 0.0000 0.0000  2 Te 2.67, 4 I 2.68
I1 0.0000 0.0000 0.5000  2 Ta 2.68
I2 0.0000 0.5000 0.0000  2 Ta 2.68
S1 0.5000 0.5000 0.5000  8 I 3.78, 4 Te 3.79
Te1 0.5000 0.0000 0.0000  2 Ta 2.67


No. 7
NbZnCd2Te: PBEsol geometry, meta-GGA SCAN.

Space-group type ... P4/mmm (123)
E ... -27.6782 eV/atom
ΔE_f (raw) ... 1.267 eV per atom

abc: 4.9682 5.4453 5.4453
angles: 90.00 90.00 90.00
Closest atoms and distances in Å follow each position.
Positions (direct):
Zn1 0.5000 0.0000 0.0000  2 Te 2.48
Te1 0.0000 0.0000 0.0000  2 Zn 2.48, 4 Cd 2.72
Cd1 0.0000 0.5000 0.0000  2 Te 2.72
Cd2 0.0000 0.0000 0.5000  2 Te 2.72
Nb1 0.5000 0.5000 0.5000  8 Cd 3.69, 4 Zn 3.85


No. 8
Al2GeO4F2: PBEsol geometry, meta-GGA SCAN.

Space-group type ... Pnma (62)
E ... -10.4484 eV/atom
ΔE_f (raw) ... -3.049 eV per atom

abc: 4.7666 8.5538 9.0079
angles: 90.00 90.00 90.00
Closest atoms and distances in Å follow each position.
Positions (direct):
O1 0.9565 0.7500 0.2541  1 Ge 1.77, 2 Al 1.89
F1 0.6026 0.0536 0.7507  2 Al 1.82-1.83
F2 0.1026 0.9464 0.7493  2 Al 1.82-1.83
O2 0.2940 0.4165 0.9915  1 Ge 1.76, 2 Al 1.87-1.90
O3 0.2216 0.7500 0.9654  1 Ge 1.76, 2 Al 1.90
F3 0.3974 0.9464 0.2493  2 Al 1.82-1.83
Al1 0.5935 0.4179 0.1311  2 F 1.82-1.83, 4 O 1.87-1.90
O4 0.7784 0.2500 0.0346  1 Ge 1.76, 2 Al 1.90
O5 0.2060 0.4165 0.4915  1 Ge 1.76, 2 Al 1.87-1.90
O6 0.7060 0.5835 0.0085  1 Ge 1.76, 2 Al 1.87-1.90
Al2 0.9065 0.0821 0.6311  2 F 1.82-1.83, 4 O 1.87-1.90
F4 0.6026 0.4464 0.7507  2 Al 1.82-1.83
Al3 0.4065 0.5821 0.8689  2 F 1.82-1.83, 4 O 1.87-1.90
Ge1 0.8998 0.7500 0.0601  4 O 1.76-1.77
Al4 0.5935 0.0821 0.1311  2 F 1.82-1.83, 4 O 1.87-1.90
F5 0.1026 0.5536 0.7493  2 Al 1.82-1.83
O7 0.4565 0.2500 0.2459  1 Ge 1.77, 2 Al 1.89
Ge2 0.1002 0.2500 0.9399  4 O 1.76-1.77
O8 0.2784 0.7500 0.4654  1 Ge 1.76, 2 Al 1.90
F6 0.8974 0.0536 0.2507  2 Al 1.82-1.83
F7 0.3974 0.5536 0.2493  2 Al 1.82-1.83
O9 0.7216 0.2500 0.5346  1 Ge 1.76, 2 Al 1.90
O10 0.7060 0.9165 0.0085  1 Ge 1.76, 2 Al 1.87-1.90
O11 0.2940 0.0835 0.9915  1 Ge 1.76, 2 Al 1.87-1.90
O12 0.0435 0.2500 0.7459  1 Ge 1.77, 2 Al 1.89
Ge3 0.3998 0.2500 0.4399  4 O 1.76-1.77
Ge4 0.6002 0.7500 0.5601  4 O 1.76-1.77
O13 0.7940 0.5835 0.5085  1 Ge 1.76, 2 Al 1.87-1.90
O14 0.5435 0.7500 0.7541  1 Ge 1.77, 2 Al 1.89
F8 0.8974 0.4464 0.2507  2 Al 1.82-1.83
Al5 0.0935 0.5821 0.3689  2 F 1.82-1.83, 4 O 1.87-1.90
O15 0.7940 0.9165 0.5085  1 Ge 1.76, 2 Al 1.87-1.90
Al6 0.0935 0.9179 0.3689  2 F 1.82-1.83, 4 O 1.87-1.90
Al7 0.4065 0.9179 0.8689  2 F 1.82-1.83, 4 O 1.87-1.90
O16 0.2060 0.0835 0.4915  1 Ge 1.76, 2 Al 1.87-1.90
Al8 0.9065 0.4179 0.6311  2 F 1.82-1.83, 4 O 1.87-1.90


No. 9
SiPtPb2: PBEsol geometry, meta-GGA SCAN.

Space-group type ... I4/mmm (139)
E ... -57.5223 eV/atom
ΔE_f (raw) ... 0.420 eV per atom

abc: 4.6219 5.1510 4.6219
angles: 116.66 90.00 116.66
Closest atoms and distances in Å follow each position.
Positions (direct):
Pb1 0.2500 0.5000 0.7500  4 Pt 3.05, 4 Si 3.05, 4 Pb 3.27
Pb2 0.7500 0.5000 0.2500  4 Pt 3.05, 4 Si 3.05, 4 Pb 3.27
Si1 0.0000 0.0000 0.0000  8 Pb 3.05, 4 Pt 3.27
Pt1 0.5000 0.0000 0.5000  8 Pb 3.05, 4 Si 3.27


No. 10
MgSc2Ni: PBEsol geometry, meta-GGA SCAN.

ΔH_f (0 K) ... -14.3 kJ/mol of atoms
Space-group type ... Immm (71)
E ... -12.5537 eV/atom

abc: 3.5350 4.9070 5.3028
angles: 117.56 109.47 90.00
Closest atoms and distances in Å follow each position.
Positions (direct):
Mg1 0.5000 0.0000 0.0000  4 Ni 3.02, 8 Sc 3.03-3.12
Sc1 0.2953 0.2953 0.5905  2 Ni 2.51
Ni1 0.0000 0.5000 0.0000  4 Sc 2.51
Sc2 0.7047 0.7047 0.4095  2 Ni 2.51


No. 11
Sr2CdWSe: PBEsol geometry, meta-GGA SCAN.

Space-group type ... P4/mmm (123)
E ... -32.2381 eV/atom
ΔE_f (raw) ... 0.708 eV per atom

abc: 5.0870 5.6509 5.6509
angles: 90.00 90.00 90.00
Closest atoms and distances in Å follow each position.
Positions (direct):
Se1 0.5000 0.5000 0.5000  8 Sr 3.80, 4 Cd 4.00
Cd1 0.5000 0.0000 0.0000  2 W 2.54
W1 0.0000 0.0000 0.0000  2 Cd 2.54, 4 Sr 2.83
Sr1 0.0000 0.5000 0.0000  2 W 2.83
Sr2 0.0000 0.0000 0.5000  2 W 2.83